## Ta3HgOs (SCAN)

Data for a crystal of Ta3HgOs relaxed with PBEsol.

The space group is Pm-3m (No. 221) and the conventional cell measures 4.840, 4.840 and 4.840 Å, with angles of 90.00, 90.00 and 90.00 degrees. The asymmetric unit holds Ta at (0.000, 0.000, 0.500), Hg at (0.000, 0.000, 0.000) and Os at (0.500, 0.500, 0.500).

The density comes out at 13677 kg/m³.

***

## Tc2HgOs (SCAN)

Data for a crystal of Tc2HgOs relaxed with PBEsol.

The space group is Cmmm (No. 65) and the conventional cell measures 2.848, 4.615 and 9.479 Å, with angles of 90.00, 90.00 and 90.00 degrees. The asymmetric unit holds Tc at (0.000, 0.000, 0.232), Hg at (0.000, 0.500, 0.500) and Os at (0.000, 0.500, 0.000).

The density comes out at 15643 kg/m³.

***

| no. | raw total energy (eV per atom) | magnetic moment (μB/cell) | E_form (kJ/mol of formula units) |
| --- | --- | --- | --- |
| 1 | -65.29 | 0.19 | 1287 |
| 2 | -51.91 | 0.00 | 242 |